1.
VASP calculation (PBE) on BaLi2Ca4 after structural relaxation.

Structure (POSCAR):
```
BaLi2Ca4
1.0
-2.3404 -1.2408 3.1319
0.7691 -5.8315 -1.7355
8.7160 2.1789 7.3764
Ba Li Ca
1 2 4
Cartesian
0.0000 0.0000 0.0000 Ba
0.4509 -3.6362 1.5826 Li
6.6938 -1.2571 7.1902 Li
5.3968 -4.0367 5.1198 Ca
3.9060 -3.2008 1.6508 Ca
1.7479 -0.8567 3.6529 Ca
5.5790 -0.4517 3.9901 Ca
```

Calculated values
DOS at the Fermi energy ... 7.689 states/eV/cell
E_form ... 0.0571 eV per atom
Calculated total energy ... -1.91 eV per atom

=====

2.
VASP calculation (PBE) on TlMoRuRh2 after structural relaxation.

Structure (POSCAR):
```
TlMoRuRh2
1.0
4.7518 0.0000 0.0000
0.0000 4.6615 0.0000
0.0000 0.0000 4.7518
Ru Tl Rh Mo
1 1 2 1
Cartesian
0.0000 2.3308 0.0000 Ru
2.3759 2.3308 2.3759 Tl
0.0000 0.0000 2.3759 Rh
2.3759 0.0000 0.0000 Rh
0.0000 0.0000 0.0000 Mo
```

Calculated values
DOS at the Fermi energy ... 3.081 states/eV/cell
E_form ... 1.0775 eV per atom
Calculated total energy ... -6.36 eV per atom

=====

3.
VASP calculation (PBE) on Y2Co2Ag after structural relaxation.

Structure (POSCAR):
```
Y2Co2Ag
1.0
-0.2894 2.9364 -2.4949
-3.2844 1.0562 1.6241
5.0633 3.4753 3.5029
Y Co Ag
2 2 1
Cartesian
-0.8653 3.0748 0.7271 Y
2.3548 4.3931 1.9051 Y
1.4229 1.6650 1.7946 Co
0.3561 2.8664 3.3324 Co
0.0000 0.0000 0.0000 Ag
```

Calculated values
Excess energy over the best structure of this formula in the dataset ... 0.000 eV/atom
DOS at the Fermi energy ... 4.684 states/eV/cell
E_form ... -0.2296 eV per atom
Calculated total energy ... -6.23 eV per atom

=====

4.
VASP calculation (PBE) on SrMg2 after structural relaxation.

Structure (POSCAR):
```
SrMg2
1.0
6.4386 0.0000 0.0000
3.2193 5.5760 0.0000
3.2193 1.8587 5.2571
Sr Mg
2 4
Cartesian
4.8290 0.9293 0.6571 Sr
8.0483 6.5054 4.6000 Sr
1.6097 2.7880 0.0000 Mg
3.2193 3.7173 2.6286 Mg
6.4386 3.7173 2.6286 Mg
1.6097 0.9293 2.6286 Mg
```

Calculated values
DOS at the Fermi energy ... 5.781 states/eV/cell
E_form ... -0.0976 eV per atom
Calculated total energy ... -1.72 eV per atom

=====

no.,spin magnetization (μB per cell)
1,0.0
2,0.0
3,1.3
4,0.0